The following is a PBE calculation of a relaxed Rb2CrTeBr6 crystal, from Alexandria.

Calculated values
* ΔE_f (raw): -0.90 eV per atom
* total moment: 5.3 Bohr magnetons per cell
* E_tot: -3.37 eV/atom

abc: 8.148 8.148 7.935
angles: 59.11 59.11 90.00
Fractional coordinates of all 10 atoms:
Cr 0.500 0.500 0.000
Te 0.000 0.000 0.000
Br 0.255 0.255 0.491
Br 0.745 0.745 0.509
Br 0.279 0.279 0.000
Br 0.721 0.721 0.000
Br 0.721 0.279 0.000
Br 0.279 0.721 0.000
Rb 0.750 0.250 0.500
Rb 0.250 0.750 0.500

---

The following is a PBE calculation of a relaxed MgZnS2 crystal, from Alexandria.

Calculated values
* ΔE_f (raw): -1.04 eV per atom
* total moment: 0.0 Bohr magnetons per cell
* E_tot: -3.82 eV/atom

abc: 6.404 3.693 13.861
angles: 90.00 90.00 90.00
Fractional coordinates of all 16 atoms:
Mg 0.193 0.250 0.428
Mg 0.307 0.750 0.928
Mg 0.807 0.750 0.572
Mg 0.693 0.250 0.072
Zn 0.315 0.250 0.670
Zn 0.185 0.750 0.170
Zn 0.685 0.750 0.330
Zn 0.815 0.250 0.830
S 0.802 0.250 0.428
S 0.698 0.750 0.928
S 0.198 0.750 0.572
S 0.302 0.250 0.072
S 0.679 0.250 0.675
S 0.821 0.750 0.175
S 0.321 0.750 0.325
S 0.179 0.250 0.825

---

The following is a PBE calculation of a relaxed NdGa2Pt5 crystal, from Alexandria.

Calculated values
* calculated formation energy: -0.773 eV per atom
* total moment: 0.0 Bohr magnetons per cell
* E_tot: -5.90 eV/atom

abc: 3.936 6.489 6.489
angles: 67.80 72.34 72.34
Fractional coordinates of all 8 atoms:
Nd 0.000 0.000 0.000
Ga 0.752 0.748 0.748
Ga 0.248 0.252 0.252
Pt 0.000 0.500 0.500
Pt 0.642 0.556 0.160
Pt 0.358 0.444 0.840
Pt 0.358 0.840 0.444
Pt 0.642 0.160 0.556

---

The following is a PBE calculation of a relaxed Mg2PPb crystal, from Alexandria.

Calculated values
* calculated formation energy: 0.194 eV per atom
* total moment: 0.0 Bohr magnetons per cell
* E_tot: -2.88 eV/atom

abc: 5.050 5.050 5.050
angles: 60.00 60.00 60.00
Fractional coordinates of all 4 atoms:
Mg 0.000 0.000 0.000
Mg 0.750 0.750 0.750
P 0.500 0.500 0.500
Pb 0.250 0.250 0.250

---

no.,N(E_F) (states/eV/atom)
1,0.5117
2,0.0000
3,0.4572
4,0.7951